# CsNaMg14O15 (PBE, optimized geometry)
data_CsNaMg14O15
_cell_length_a 4.413
_cell_length_b 8.584
_cell_length_c 8.855
_cell_angle_alpha 90.00
_cell_angle_beta 90.00
_cell_angle_gamma 90.00
_space_group_name_H-M_alt 'P 1'
_space_group_IT_number 1
loop_
_space_group_symop_operation_xyz
'x,y,z'
loop_
_atom_site_label
_atom_site_type_symbol
_atom_site_fract_x
_atom_site_fract_y
_atom_site_fract_z
_atom_site_occupancy
Cs1 Cs 0.000 0.600 0.500 1
Na1 Na 0.000 0.001 0.000 1
Mg1 Mg 0.000 0.025 0.500 1
Mg2 Mg 0.000 0.489 0.000 1
Mg3 Mg 0.500 0.998 0.245 1
Mg4 Mg 0.500 0.998 0.755 1
Mg5 Mg 0.500 0.490 0.242 1
Mg6 Mg 0.500 0.490 0.758 1
Mg7 Mg 0.500 0.746 0.000 1
Mg8 Mg 0.500 0.772 0.500 1
Mg9 Mg 0.500 0.240 0.000 1
Mg10 Mg 0.500 0.255 0.500 1
Mg11 Mg 0.000 0.749 0.216 1
Mg12 Mg 0.000 0.749 0.784 1
Mg13 Mg 0.000 0.254 0.250 1
Mg14 Mg 0.000 0.254 0.750 1
O1 O 0.000 0.736 0.000 1
O2 O 0.000 0.254 0.000 1
O3 O 0.000 0.249 0.500 1
O4 O 0.500 0.744 0.261 1
O5 O 0.500 0.744 0.739 1
O6 O 0.500 0.243 0.248 1
O7 O 0.500 0.243 0.752 1
O8 O 0.500 0.988 0.000 1
O9 O 0.500 0.999 0.500 1
O10 O 0.500 0.500 0.000 1
O11 O 0.500 0.486 0.500 1
O12 O 0.000 0.979 0.276 1
O13 O 0.000 0.979 0.724 1
O14 O 0.000 0.498 0.227 1
O15 O 0.000 0.498 0.773 1
# - uncorrected formation energy (meV per atom) = -2312
# - ΔE to the lowest computed polymorph (meV per atom) = 12.4
# - crystal system = orthorhombic
# - M_tot (μB/cell) = 0.000
# - density of states at the Fermi level (states/eV/cell) = 0.0
# - space-group type = Pmm2 (25)

***

# AcIBrCl (PBE, optimized geometry)
data_AcIBrCl
_cell_length_a 5.005
_cell_length_b 5.005
_cell_length_c 8.086
_cell_angle_alpha 90.05
_cell_angle_beta 107.91
_cell_angle_gamma 120.12
_space_group_name_H-M_alt 'P 1'
_space_group_IT_number 1
loop_
_space_group_symop_operation_xyz
'x,y,z'
loop_
_atom_site_label
_atom_site_type_symbol
_atom_site_fract_x
_atom_site_fract_y
_atom_site_fract_z
_atom_site_occupancy
Ac1 Ac 0.500 0.614 0.115 1
I1 I 0.355 0.043 0.398 1
Br1 Br 0.008 0.869 0.877 1
Cl1 Cl 0.828 0.279 0.107 1
# - uncorrected formation energy (meV per atom) = -1905
# - crystal system = monoclinic
# - M_tot (μB/cell) = 0.000
# - density of states at the Fermi level (states/eV/cell) = 0.0
# - space-group type = Cm (8)

***

# CeThInHg (PBE, optimized geometry)
data_CeThInHg
_cell_length_a 4.705
_cell_length_b 4.781
_cell_length_c 4.827
_cell_angle_alpha 90.00
_cell_angle_beta 90.00
_cell_angle_gamma 90.00
_space_group_name_H-M_alt 'P 1'
_space_group_IT_number 1
loop_
_space_group_symop_operation_xyz
'x,y,z'
loop_
_atom_site_label
_atom_site_type_symbol
_atom_site_fract_x
_atom_site_fract_y
_atom_site_fract_z
_atom_site_occupancy
Ce1 Ce 0.500 0.500 0.000 1
Th1 Th 0.500 0.000 0.500 1
In1 In 0.000 0.000 0.000 1
Hg1 Hg 0.000 0.500 0.500 1
# - energy of formation from the pure elements (eV/atom) = -0.28
# - ΔE to the lowest computed polymorph (meV per atom) = 0.0
# - crystal system = orthorhombic
# - M_tot (μB/cell) = 0.883
# - density of states at the Fermi level (states/eV/cell) = 7.5
# - space-group type = Pmmm (47)

***

# La5ScSn5 (PBE, optimized geometry)
data_La5ScSn5
_cell_length_a 5.891
_cell_length_b 9.656
_cell_length_c 6.927
_cell_angle_alpha 110.08
_cell_angle_beta 90.00
_cell_angle_gamma 107.76
_space_group_name_H-M_alt 'P 1'
_space_group_IT_number 1
loop_
_space_group_symop_operation_xyz
'x,y,z'
loop_
_atom_site_label
_atom_site_type_symbol
_atom_site_fract_x
_atom_site_fract_y
_atom_site_fract_z
_atom_site_occupancy
La1 La 0.684 0.369 0.197 1
La2 La 0.663 0.327 0.679 1
La3 La 0.000 0.000 0.500 1
La4 La 0.337 0.673 0.321 1
La5 La 0.316 0.631 0.803 1
Sc1 Sc 0.000 0.000 0.000 1
Sn1 Sn 0.844 0.687 0.070 1
Sn2 Sn 0.843 0.687 0.616 1
Sn3 Sn 0.500 0.000 0.000 1
Sn4 Sn 0.157 0.313 0.384 1
Sn5 Sn 0.156 0.313 0.930 1
# - energy of formation from the pure elements (eV/atom) = -0.53
# - crystal system = monoclinic
# - M_tot (μB/cell) = 0.552
# - density of states at the Fermi level (states/eV/cell) = 9.0
# - space-group type = C2/m (12)

***

# Cs2TaCl6 (PBE, optimized geometry)
data_Cs2TaCl6
_cell_length_a 7.531
_cell_length_b 7.531
_cell_length_c 7.531
_cell_angle_alpha 60.00
_cell_angle_beta 60.00
_cell_angle_gamma 60.00
_space_group_name_H-M_alt 'P 1'
_space_group_IT_number 1
loop_
_space_group_symop_operation_xyz
'x,y,z'
loop_
_atom_site_label
_atom_site_type_symbol
_atom_site_fract_x
_atom_site_fract_y
_atom_site_fract_z
_atom_site_occupancy
Cs1 Cs 0.750 0.750 0.750 1
Cs2 Cs 0.250 0.250 0.250 1
Ta1 Ta 0.000 0.000 0.000 1
Cl1 Cl 0.772 0.228 0.228 1
Cl2 Cl 0.772 0.228 0.772 1
Cl3 Cl 0.772 0.772 0.228 1
Cl4 Cl 0.228 0.228 0.772 1
Cl5 Cl 0.228 0.772 0.228 1
Cl6 Cl 0.228 0.772 0.772 1
# - uncorrected formation energy (meV per atom) = -1671
# - crystal system = cubic
# - M_tot (μB/cell) = 1.000
# - density of states at the Fermi level (states/eV/cell) = 7.1
# - space-group type = Fm-3m (225)

***

# NdDy3Ir4 (PBE, optimized geometry)
data_NdDy3Ir4
_cell_length_a 4.977
_cell_length_b 6.674
_cell_length_c 9.953
_cell_angle_alpha 90.00
_cell_angle_beta 90.00
_cell_angle_gamma 90.00
_space_group_name_H-M_alt 'P 1'
_space_group_IT_number 1
loop_
_space_group_symop_operation_xyz
'x,y,z'
loop_
_atom_site_label
_atom_site_type_symbol
_atom_site_fract_x
_atom_site_fract_y
_atom_site_fract_z
_atom_site_occupancy
Ir1 Ir 0.500 0.756 0.000 1
Ir2 Ir 0.500 0.756 0.500 1
Ir3 Ir 0.500 0.244 0.000 1
Ir4 Ir 0.500 0.244 0.500 1
Ir5 Ir 0.000 0.756 0.750 1
Ir6 Ir 0.000 0.756 0.250 1
Ir7 Ir 0.000 0.244 0.250 1
Ir8 Ir 0.000 0.244 0.750 1
Nd1 Nd 0.000 0.500 0.000 1
Nd2 Nd 0.000 0.500 0.500 1
Dy1 Dy 0.000 0.000 0.000 1
Dy2 Dy 0.000 0.000 0.500 1
Dy3 Dy 0.500 0.000 0.750 1
Dy4 Dy 0.500 0.000 0.250 1
Dy5 Dy 0.500 0.500 0.750 1
Dy6 Dy 0.500 0.500 0.250 1
# - energy of formation from the pure elements (eV/atom) = -0.73
# - crystal system = tetragonal
# - M_tot (μB/cell) = 0.000
# - density of states at the Fermi level (states/eV/cell) = 5.5
# - space-group type = P4/mmm (123)

***

> Number 1 is which compound?

CsNaMg14O15

***

What did the first record say?
# CsNaMg14O15 (PBE, optimized geometry)
data_CsNaMg14O15
_cell_length_a 4.413
_cell_length_b 8.584
_cell_length_c 8.855
_cell_angle_alpha 90.00
_cell_angle_beta 90.00
_cell_angle_gamma 90.00
_space_group_name_H-M_alt 'P 1'
_space_group_IT_number 1
loop_
_space_group_symop_operation_xyz
'x,y,z'
loop_
_atom_site_label
_atom_site_type_symbol
_atom_site_fract_x
_atom_site_fract_y
_atom_site_fract_z
_atom_site_occupancy
Cs1 Cs 0.000 0.600 0.500 1
Na1 Na 0.000 0.001 0.000 1
Mg1 Mg 0.000 0.025 0.500 1
Mg2 Mg 0.000 0.489 0.000 1
Mg3 Mg 0.500 0.998 0.245 1
Mg4 Mg 0.500 0.998 0.755 1
Mg5 Mg 0.500 0.490 0.242 1
Mg6 Mg 0.500 0.490 0.758 1
Mg7 Mg 0.500 0.746 0.000 1
Mg8 Mg 0.500 0.772 0.500 1
Mg9 Mg 0.500 0.240 0.000 1
Mg10 Mg 0.500 0.255 0.500 1
Mg11 Mg 0.000 0.749 0.216 1
Mg12 Mg 0.000 0.749 0.784 1
Mg13 Mg 0.000 0.254 0.250 1
Mg14 Mg 0.000 0.254 0.750 1
O1 O 0.000 0.736 0.000 1
O2 O 0.000 0.254 0.000 1
O3 O 0.000 0.249 0.500 1
O4 O 0.500 0.744 0.261 1
O5 O 0.500 0.744 0.739 1
O6 O 0.500 0.243 0.248 1
O7 O 0.500 0.243 0.752 1
O8 O 0.500 0.988 0.000 1
O9 O 0.500 0.999 0.500 1
O10 O 0.500 0.500 0.000 1
O11 O 0.500 0.486 0.500 1
O12 O 0.000 0.979 0.276 1
O13 O 0.000 0.979 0.724 1
O14 O 0.000 0.498 0.227 1
O15 O 0.000 0.498 0.773 1
# - uncorrected formation energy (meV per atom) = -2312
# - ΔE to the lowest computed polymorph (meV per atom) = 12.4
# - crystal system = orthorhombic
# - M_tot (μB/cell) = 0.000
# - density of states at the Fermi level (states/eV/cell) = 0.0
# - space-group type = Pmm2 (25)

***

What did the third record say?
# CeThInHg (PBE, optimized geometry)
data_CeThInHg
_cell_length_a 4.705
_cell_length_b 4.781
_cell_length_c 4.827
_cell_angle_alpha 90.00
_cell_angle_beta 90.00
_cell_angle_gamma 90.00
_space_group_name_H-M_alt 'P 1'
_space_group_IT_number 1
loop_
_space_group_symop_operation_xyz
'x,y,z'
loop_
_atom_site_label
_atom_site_type_symbol
_atom_site_fract_x
_atom_site_fract_y
_atom_site_fract_z
_atom_site_occupancy
Ce1 Ce 0.500 0.500 0.000 1
Th1 Th 0.500 0.000 0.500 1
In1 In 0.000 0.000 0.000 1
Hg1 Hg 0.000 0.500 0.500 1
# - energy of formation from the pure elements (eV/atom) = -0.28
# - ΔE to the lowest computed polymorph (meV per atom) = 0.0
# - crystal system = orthorhombic
# - M_tot (μB/cell) = 0.883
# - density of states at the Fermi level (states/eV/cell) = 7.5
# - space-group type = Pmmm (47)